No. 1
First-principles (GGA-PBE) data for a geometry-optimized Mg2MoAu structure, as listed in Alexandria via LeMat-Bulk.

```
Mg2MoAu
1.0
-2.506 -0.024 -3.086
-0.988 -3.987 0.833
-3.100 1.292 2.507
Au Mg Mo
1 2 1
Direct
0.500 0.000 0.500
0.000 0.000 0.000
0.000 0.500 0.500
0.500 0.500 0.000
```

Results
VASP energy = -17.016 eV for the cell shown
M_tot = 0.7 μB/f.u.
ΔE to the lowest computed polymorph = 119 meV per atom
Symmetry = No. 123

---

No. 2
First-principles (GGA-PBE) data for a geometry-optimized MgMoAu structure, as listed in Alexandria via LeMat-Bulk.

```
MgMoAu
1.0
2.886 0.000 0.000
-1.443 2.500 0.000
0.000 0.000 7.182
Au Mg Mo
1 1 1
Direct
0.000 0.000 0.001
0.333 0.667 0.331
0.667 0.333 0.668
```

Results
VASP energy = -15.121 eV for the cell shown
M_tot = 0.0 μB/f.u.
ΔE to the lowest computed polymorph = 118 meV per atom
Symmetry = No. 156

---

No. 3
First-principles (GGA-PBE) data for a geometry-optimized Mg2MoAu structure, as listed in Alexandria via LeMat-Bulk.

```
Mg2MoAu
1.0
-3.611 -1.206 2.347
1.615 -1.406 1.761
1.128 4.127 3.857
Au Mg Mo
1 2 1
Direct
0.500 0.750 0.750
0.000 0.945 0.005
0.000 0.555 0.495
0.500 0.250 0.250
```

Results
VASP energy = -16.795 eV for the cell shown
M_tot = 0.0 μB/f.u.
ΔE to the lowest computed polymorph = 174 meV per atom
Symmetry = No. 10

---

No. 4
First-principles (GGA-PBE) data for a geometry-optimized Mg2MoAu structure, as listed in Alexandria via LeMat-Bulk.

```
Mg2MoAu
1.0
-0.471 -2.826 0.052
2.531 -0.395 1.284
-3.900 0.796 7.935
Au Mg Mo
1 2 1
Direct
0.500 0.500 0.746
0.000 0.000 0.975
0.500 0.500 0.269
0.000 0.000 0.510
```

Results
VASP energy = -16.994 eV for the cell shown
M_tot = 0.0 μB/f.u.
ΔE to the lowest computed polymorph = 124 meV per atom
Symmetry = No. 99

---

No. 5
First-principles (GGA-PBE) data for a geometry-optimized MgMo2PAu structure, as listed in Alexandria via LeMat-Bulk.

```
MgMo2PAu
1.0
-1.151 4.576 0.535
-4.049 -1.156 1.172
1.368 -0.187 4.543
P Mo Au Mg
1 2 1 1
Direct
0.000 0.500 0.000
0.000 0.000 0.500
0.500 0.000 0.000
0.500 0.500 0.500
0.000 0.000 0.000
```

Results
VASP energy = -22.684 eV for the cell shown
M_tot = 3.3 μB/f.u.
Symmetry = No. 123

---

No. 6
First-principles (GGA-PBE) data for a geometry-optimized MgMoPdAu2 structure, as listed in Alexandria via LeMat-Bulk.

```
MgMoPdAu2
1.0
-0.437 0.218 -4.661
4.092 -1.817 -0.469
-1.904 -4.282 -0.022
Mo Au Mg Pd
1 2 1 1
Direct
0.500 0.500 0.500
0.000 0.000 0.500
0.500 0.000 0.000
0.000 0.000 0.000
0.000 0.500 0.000
```

Results
VASP energy = -18.772 eV for the cell shown
M_tot = 0.0 μB/f.u.
Symmetry = No. 123